# 1
Density functional theory data (PBE-GGA) for a relaxed structure of TmTcC.

Geometry as POSCAR:
```
TmTcC
1.0
-0.7338 2.6054 -2.1542
1.7807 -3.0198 -4.2589
-4.7313 -1.8711 -0.6516
Tm C Tc
2 2 2
Direct
0.5000 0.7500 0.7408
0.5000 0.2500 0.2592
0.0000 0.5000 0.5000
0.0000 0.0000 0.5000
0.0000 0.2500 0.7571
0.0000 0.7500 0.2429
```

Results
D(E_F): 3.19 states/eV/cell
Formation enthalpy at 0 K: -22.6 kJ/mol of atoms
Energy: -24.764 eV per formula unit

---

# 2
Density functional theory data (PBE-GGA) for a relaxed structure of SrI.

Geometry as POSCAR:
```
SrI
1.0
9.3631 0.0000 0.0000
0.0000 9.3631 0.0000
0.0000 0.0000 9.3631
I Sr
6 6
Direct
0.2500 0.5000 0.0000
0.0000 0.7500 0.5000
0.7500 0.5000 0.0000
0.5000 0.0000 0.2500
0.0000 0.2500 0.5000
0.5000 0.0000 0.7500
0.7500 0.0000 0.5000
0.5000 0.7500 0.0000
0.5000 0.2500 0.0000
0.0000 0.5000 0.2500
0.2500 0.0000 0.5000
0.0000 0.5000 0.7500
```

Results
D(E_F): 15.45 states/eV/cell
Energy: -4.760 eV per formula unit
Formation energy without anion corrections: -1.5 eV/f.u.

---

# 3
Density functional theory data (PBE-GGA) for a relaxed structure of SrHgSb2Pb.

Geometry as POSCAR:
```
SrHgSb2Pb
1.0
-0.4747 4.0078 -3.1298
2.4051 -2.9072 -8.2545
-6.3197 -2.2664 -6.1105
Sr Sb Hg Pb
2 4 2 2
Direct
0.2479 0.2449 0.2593
0.7521 0.7551 0.7407
0.8669 0.2838 0.9823
0.1331 0.7162 0.0177
0.6302 0.1906 0.5489
0.3698 0.8094 0.4511
0.0710 0.0940 0.7640
0.9290 0.9060 0.2360
0.5761 0.5943 0.2536
0.4239 0.4057 0.7464
```

Results
D(E_F): 3.13 states/eV/cell
Energy: -15.645 eV per formula unit
Formation energy without anion corrections: -1.7 eV/f.u.

---

# 4
Density functional theory data (PBE-GGA) for a relaxed structure of TiInFeI2.

Geometry as POSCAR:
```
TiInFeI2
1.0
5.4124 0.0000 0.0000
0.0000 5.7678 0.0000
0.0000 0.0000 5.4124
Ti I Fe In
1 2 1 1
Direct
0.0000 0.0000 0.0000
0.5000 0.0000 0.0000
0.0000 0.0000 0.5000
0.5000 0.5000 0.5000
0.0000 0.5000 0.0000
```

Results
D(E_F): 7.10 states/eV/cell
Energy: -18.797 eV per formula unit
Formation energy without anion corrections: 3.4 eV/f.u.